1.
8
Lattice="4.868 0.000 1.437 2.222 4.331 1.437 0.046 0.028 8.807" Properties=species:S:1:pos:R:3 comment="Nd4AgRh3 (GGA-PBE, relaxed)" spacegroup="R-3m, No. 166" total_energy_ev_per_cell=-48.5 formation_energy_ev_per_fu=-4.48 pbc="T T T"
Rh 1.788 1.092 2.906
Rh 5.347 3.267 8.775
Rh 3.568 2.180 5.841
Nd 6.198 3.787 5.892
Nd 2.728 1.667 8.684
Nd 0.937 0.573 5.789
Nd 4.407 2.692 2.997
Ag 0.000 0.000 0.000

---

2.
4
Lattice="3.758 0.000 0.000 0.000 2.832 0.066 0.000 2.612 9.461" Properties=species:S:1:pos:R:3 comment="HgAsSe2 (GGA-PBE, relaxed)" polymorph_energy_mev_per_atom=73.0 formation_energy_uncorrected_ev_per_atom=0.006 spacegroup="Pmmm, No. 47" total_energy_ev_per_cell=-11.9 pbc="T T T"
As 1.879 1.361 2.382
Hg 1.879 4.083 7.145
Se 0.000 1.405 0.486
Se 0.000 1.317 4.277

---

3.
5
Lattice="-1.580 -4.255 2.992 4.308 -0.977 0.886 -0.188 3.172 4.411" Properties=species:S:1:pos:R:3 comment="Ca2RuRhCl (GGA-PBE, relaxed)" formation_energy_uncorrected_ev_per_atom=0.356 spacegroup="P4/mmm, No. 123" total_energy_ev_per_cell=-20.7 pbc="T T T"
Ru 1.270 -1.030 4.145
Ca -0.094 1.586 2.206
Ca -0.790 -2.127 1.496
Rh 0.000 0.000 0.000
Cl 2.154 -0.488 0.443

---

4.
12
Lattice="-2.118 -0.051 3.495 0.137 -4.085 0.024 15.668 0.582 9.501" Properties=species:S:1:pos:R:3 comment="AgTeSe (GGA-PBE, relaxed)" polymorph_energy_mev_per_atom=16.5 formation_energy_uncorrected_ev_per_atom=-0.007 spacegroup="I4mm, No. 107" total_energy_ev_per_cell=-38.0 pbc="T T T"
Ag 6.677 0.248 4.049
Ag 13.520 -1.529 10.559
Ag 11.719 0.435 7.106
Ag 2.895 -1.923 4.115
Te 1.419 0.053 0.860
Te 8.262 -1.724 7.370
Te 14.154 0.526 8.583
Te 5.330 -1.833 5.592
Se 9.151 0.340 5.549
Se 0.327 -2.019 2.558
Se 3.638 0.135 2.206
Se 10.481 -1.642 8.716

---

5.
8
Lattice="3.772 0.000 0.000 0.000 3.772 0.000 1.886 1.886 8.999" Properties=species:S:1:pos:R:3 comment="ZnOsPd2 (GGA-PBE, relaxed)" spacegroup="I-42d, No. 122" total_energy_ev_per_cell=-41.6 formation_energy_ev_per_fu=2.10 pbc="T T T"
Zn 1.886 1.886 0.000
Zn 1.886 3.772 4.499
Os 0.000 0.000 0.000
Os 3.772 1.886 4.499
Pd 2.835 0.943 2.250
Pd 0.937 2.829 2.250
Pd 2.829 2.823 6.749
Pd 4.716 4.721 6.749

---

6.
4
Lattice="-2.994 -2.212 2.651 -3.963 -1.456 -1.751 -0.724 -4.471 -0.609" Properties=species:S:1:pos:R:3 comment="GaReCl2 (GGA-PBE, relaxed)" polymorph_energy_mev_per_atom=768.1 formation_energy_uncorrected_ev_per_atom=0.997 spacegroup="Fm-3m, No. 225" total_energy_ev_per_cell=-15.2 pbc="T T T"
Re -3.841 -4.070 0.146
Ga 0.000 0.000 0.000
Cl -1.920 -2.035 0.073
Cl -5.761 -6.104 0.219

---

7.
4
Lattice="5.191 0.002 -0.011 2.316 4.646 0.011 -3.310 -3.040 2.598" Properties=species:S:1:pos:R:3 comment="TlFeRu2 (GGA-PBE, relaxed)" polymorph_energy_mev_per_atom=156.9 spacegroup="Imm2, No. 44" total_energy_ev_per_cell=-27.1 formation_energy_ev_per_fu=2.24 pbc="T T T"
Fe 2.914 -0.297 1.293
Ru 7.401 4.583 0.000
Ru 1.318 1.927 1.305
Tl 3.825 2.369 0.000

---

8.
32
Lattice="-3.071 -0.352 -4.565 -3.910 -5.884 3.084 -10.024 9.799 5.986" Properties=species:S:1:pos:R:3 comment="Er3Ga3Rh2 (GGA-PBE, relaxed)" spacegroup="Pnma, No. 62" total_energy_ev_per_cell=-175.2 formation_energy_ev_per_fu=-6.33 pbc="T T T"
Er -6.079 1.070 3.242
Er -8.141 5.530 0.956
Er -13.751 5.254 2.951
Er -6.039 -4.729 1.863
Er -10.926 2.492 1.264
Er -8.864 -1.968 3.550
Er -3.254 -1.692 1.555
Er -10.966 8.291 2.643
Er -5.725 0.298 -0.371
Er -8.592 6.290 4.424
Er -11.280 3.264 4.877
Er -8.413 -2.728 0.082
Ga -3.579 1.400 1.418
Ga -10.749 5.187 2.619
Ga -13.425 2.162 3.088
Ga -6.256 -1.625 1.887
Ga -7.766 2.471 1.030
Ga -6.370 4.138 3.291
Ga -13.566 5.321 6.060
Ga -6.307 -4.806 -1.370
Ga -9.239 1.091 3.476
Ga -10.635 -0.576 1.214
Ga -3.439 -1.759 -1.554
Ga -10.698 8.368 5.876
Rh -6.998 2.863 -1.324
Rh -8.805 3.555 3.168
Rh -12.785 3.415 7.488
Rh -5.422 -2.708 -0.321
Rh -10.007 0.699 5.830
Rh -8.199 0.007 1.338
Rh -4.220 0.148 -2.982
Rh -11.583 6.270 4.827

---

9.
4
Lattice="3.441 0.000 0.000 0.000 3.441 0.000 0.000 0.000 8.325" Properties=species:S:1:pos:R:3 comment="Pm2PaNi (GGA-PBE, relaxed)" polymorph_energy_mev_per_atom=0.0 spacegroup="P4/mmm, No. 123" total_energy_ev_per_cell=-24.6 formation_energy_ev_per_fu=0.19 pbc="T T T"
Ni 1.720 1.720 0.000
Pa 1.720 1.720 4.163
Pm 0.000 0.000 6.599
Pm 0.000 0.000 1.726

---

10.
4
Lattice="-4.569 1.570 -0.168 -3.592 -3.107 -0.904 -3.099 -1.200 3.511" Properties=species:S:1:pos:R:3 comment="PaGa2Au (GGA-PBE, relaxed)" spacegroup="Fm-3m, No. 225" total_energy_ev_per_cell=-19.6 formation_energy_ev_per_fu=-0.73 pbc="T T T"
Pa 0.000 0.000 0.000
Au -5.630 -1.368 1.220
Ga -2.815 -0.684 0.610
Ga -8.445 -2.052 1.829

---

11.
14
Lattice="7.172 0.000 -2.496 -3.565 6.202 -2.549 -0.043 0.000 7.594" Properties=species:S:1:pos:R:3 comment="Er8GaGe5 (GGA-PBE, relaxed)" spacegroup="I-4, No. 82" total_energy_ev_per_cell=-73.5 formation_energy_ev_per_fu=-10.91 pbc="T T T"
Er -1.777 4.672 -2.151
Er 6.648 0.716 2.873
Er 4.519 1.532 0.311
Er 3.101 2.376 4.101
Er 1.319 3.826 -0.941
Er 1.304 5.487 2.813
Er 0.955 1.530 1.563
Er -1.810 4.670 1.627
Ga -0.022 3.101 3.797
Ge -1.330 2.338 0.000
Ge 3.128 5.429 -2.514
Ge 3.134 3.864 1.290
Ge 3.565 0.000 2.549
Ge 2.197 0.774 6.322

---

12.
5
Lattice="-3.618 -1.272 -3.469 0.017 -4.745 1.722 -3.694 1.222 3.406" Properties=species:S:1:pos:R:3 comment="TiReSbAs2 (GGA-PBE, relaxed)" formation_energy_uncorrected_ev_per_atom=1.863 spacegroup="P4/mmm, No. 123" total_energy_ev_per_cell=-24.5 pbc="T T T"
Re -3.648 -2.397 0.829
As -1.847 0.611 1.703
As -1.809 -0.636 -1.734
Ti 0.008 -2.373 0.861
Sb 0.000 0.000 0.000

---

13.
20
Lattice="3.550 0.000 0.000 0.000 10.009 0.000 0.000 0.000 10.009" Properties=species:S:1:pos:R:3 comment="LiPr2Ga2Rh5 (GGA-PBE, relaxed)" spacegroup="P4/mbm, No. 127" total_energy_ev_per_cell=-119.6 formation_energy_ev_per_fu=-5.54 pbc="T T T"
Li 0.000 0.000 0.000
Li 0.000 5.004 5.004
Pr 0.000 6.758 1.753
Pr 0.000 3.251 8.255
Pr 0.000 1.753 3.251
Pr 0.000 8.255 6.758
Ga 0.000 1.242 6.247
Ga 0.000 8.767 3.762
Ga 0.000 6.247 8.767
Ga 0.000 3.762 1.242
Rh 1.775 2.058 0.640
Rh 1.775 7.951 9.369
Rh 1.775 0.640 7.951
Rh 1.775 7.062 4.365
Rh 1.775 9.369 2.058
Rh 1.775 2.947 5.644
Rh 1.775 5.644 7.062
Rh 1.775 4.365 2.947
Rh 1.775 5.004 0.000
Rh 1.775 0.000 5.004

---

14.
18
Lattice="5.103 0.000 0.000 -2.551 4.419 0.000 0.000 0.000 9.182" Properties=species:S:1:pos:R:3 comment="LiGeTeO6 (GGA-PBE, relaxed)" formation_energy_uncorrected_ev_per_atom=-1.201 spacegroup="P-31c, No. 163" total_energy_ev_per_cell=-100.5 pbc="T T T"
Li 0.000 0.000 0.000
Li 0.000 0.000 4.591
Ge 2.551 1.473 2.296
Ge 0.000 2.946 6.887
Te 0.000 2.946 2.296
Te 2.551 1.473 6.887
O 1.650 2.817 1.245
O 4.166 1.581 1.245
O -0.714 4.398 5.836
O -1.615 2.838 7.937
O 0.937 1.581 3.346
O 3.452 2.817 3.346
O 0.714 4.398 7.937
O 3.265 0.021 3.346
O -0.901 1.602 5.836
O 1.838 0.021 1.245
O 1.615 2.838 5.836
O 0.901 1.602 7.937

---

15.
8
Lattice="-3.467 -1.233 2.241 0.017 -3.787 -2.056 5.174 -3.329 6.174" Properties=species:S:1:pos:R:3 comment="NpZnAsS (GGA-PBE, relaxed)" formation_energy_uncorrected_ev_per_atom=-0.622 spacegroup="P4/nmm, No. 129" total_energy_ev_per_cell=-51.0 pbc="T T T"
Np 1.812 -2.898 5.351
Np 1.637 -2.941 0.915
Zn -1.725 -2.510 0.092
Zn 0.000 0.000 0.000
As 4.292 -4.649 4.083
As -0.843 -1.190 2.184
S 2.587 -1.665 3.087
S 0.862 -4.174 3.180

---

16.
10
Lattice="7.800 0.000 0.000 0.000 7.800 0.000 0.000 0.000 3.978" Properties=species:S:1:pos:R:3 comment="LiLa2P2 (GGA-PBE, relaxed)" polymorph_energy_mev_per_atom=0.0 spacegroup="P4/mbm, No. 127" total_energy_ev_per_cell=-56.7 formation_energy_ev_per_fu=-5.79 pbc="T T T"
P 2.648 6.548 0.000
P 6.548 5.152 0.000
P 5.152 1.252 0.000
P 1.252 2.648 0.000
Li 0.000 0.000 0.000
Li 3.900 3.900 0.000
La 1.168 5.068 1.989
La 5.068 6.632 1.989
La 6.632 2.732 1.989
La 2.732 1.168 1.989

---

17.
8
Lattice="-0.439 3.389 -2.506 3.904 -0.623 -1.524 -4.702 -5.996 -3.704" Properties=species:S:1:pos:R:3 comment="PrPd5Au2 (GGA-PBE, relaxed)" polymorph_energy_mev_per_atom=0.0 spacegroup="I4/mmm, No. 139" total_energy_ev_per_cell=-40.5 formation_energy_ev_per_fu=-3.21 pbc="T T T"
Pr 0.000 0.000 0.000
Pd 1.733 1.383 -2.015
Pd -0.994 0.492 -2.744
Pd 1.178 -1.514 -2.253
Pd -0.243 -3.722 -4.990
Pd -2.414 -1.716 -5.481
Au -1.493 -2.320 -2.876
Au 0.257 -0.911 -4.858

---

18.
11
Lattice="2.768 -0.008 -0.098 -0.005 4.375 -0.660 -0.322 -0.110 14.141" Properties=species:S:1:pos:R:3 comment="Ti4Re3Mo4 (GGA-PBE, relaxed)" spacegroup="P-1, No. 2" total_energy_ev_per_cell=-114.7 formation_energy_ev_per_fu=-2.44 pbc="T T T"
Ti 1.930 0.371 2.419
Ti 0.393 1.129 7.503
Ti 2.049 3.128 5.881
Ti 0.512 3.887 10.964
Re 0.172 2.752 3.411
Re 2.270 1.506 9.973
Re 2.446 -0.117 14.043
Mo 0.955 2.377 0.907
Mo 1.486 1.881 12.476
Mo 1.353 3.510 8.448
Mo 1.089 0.747 4.935

---

19.
12
Lattice="4.357 0.000 0.018 2.179 6.533 0.009 -0.026 0.000 6.365" Properties=species:S:1:pos:R:3 comment="Ti3MnAl2 (GGA-PBE, relaxed)" spacegroup="Cmmm, No. 65" total_energy_ev_per_cell=-84.5 formation_energy_ev_per_fu=-1.92 pbc="T T T"
Ti 4.337 2.270 4.933
Ti 2.173 0.000 1.535
Ti 2.173 4.263 1.459
Ti 4.351 2.270 1.468
Ti 2.159 4.263 4.924
Ti 2.159 0.000 4.848
Mn 2.179 2.122 0.009
Mn 4.357 4.411 0.018
Al 0.000 0.000 0.000
Al -0.013 0.000 3.183
Al 2.166 2.150 3.192
Al 4.344 4.383 3.200

---

20.
4
Lattice="-0.874 -1.670 -2.596 2.482 -1.172 1.660 -6.655 -5.715 5.915" Properties=species:S:1:pos:R:3 comment="MgTe2W (GGA-PBE, relaxed)" formation_energy_uncorrected_ev_per_atom=0.539 spacegroup="Cmmm, No. 65" total_energy_ev_per_cell=-18.7 pbc="T T T"
Mg -4.187 -5.708 3.968
Te -0.286 -0.246 0.254
Te -3.041 -2.612 2.703
W -0.859 -2.850 1.011